Record 1
## Ac6HIr2Cl3 (PBE)

Data for a geometry-optimized Ac6HIr2Cl3 structure.

The calculation puts the density of states at the Fermi level at 0.60 states/eV per atom. Its total energy is -64.8 eV per formula unit. For the density, the calculation gives 8.013 g/cm³. The value obtained for the total magnetization is 0.000 μB per atom.

The space group is C2/m (No. 12) and the conventional cell measures 7.4405, 12.9146 and 8.3760 Å, with angles of 90.00, 107.34 and 90.00 degrees. The distinct sites, in fractional coordinates, are Ac at (0.2283, 0.0000, 0.2005), Ac at (0.2370, 0.3305, 0.2025), H at (0.0000, 0.5000, 0.0000), Ir at (0.0000, 0.1663, 0.0000), Cl at (0.0000, 0.0000, 0.5000) and Cl at (0.0000, 0.3225, 0.5000).


Record 2
## AcHClO2 (PBE)

Data for a geometry-optimized AcHClO2 structure.

The calculation puts the density of states at the Fermi level at 0.43 states/eV per atom. Its total energy is -28.9 eV per formula unit. For the density, the calculation gives 6.006 g/cm³. The value obtained for the total magnetization is 0.201 μB per atom.

The space group is P2_1/m (No. 11) and the conventional cell measures 5.3057, 4.1326 and 7.7521 Å, with angles of 90.00, 106.00 and 90.00 degrees. The distinct sites, in fractional coordinates, are Ac at (0.1459, 0.2500, 0.2252), H at (0.4337, 0.2500, 0.8783), Cl at (0.2684, 0.7500, 0.5533), O at (0.1265, 0.2500, 0.9010) and O at (0.3931, 0.7500, 0.1533).


Record 3
## AcH2ClO2 (PBE)

Data for a geometry-optimized AcH2ClO2 structure.

The calculation puts the density of states at the Fermi level at 0.00 states/eV per atom. Its total energy is -34.5 eV per formula unit. For the density, the calculation gives 5.489 g/cm³. The value obtained for the total magnetization is 0.000 μB per atom.

The space group is P2_1/m (No. 11) and the conventional cell measures 5.9257, 4.1065 and 7.5385 Å, with angles of 90.00, 102.10 and 90.00 degrees. The distinct sites, in fractional coordinates, are Ac at (0.0911, 0.2500, 0.3029), H at (0.3555, 0.5528, 0.6536), Cl at (0.2620, 0.7500, 0.0608), O at (0.1166, 0.2500, 0.6336) and O at (0.4337, 0.7500, 0.6153).


Record 4
## Ac6HOs2Cl3 (PBE)

Data for a geometry-optimized Ac6HOs2Cl3 structure.

The calculation puts the density of states at the Fermi level at 0.31 states/eV per atom. Its total energy is -66.8 eV per formula unit. For the density, the calculation gives 8.137 g/cm³. The value obtained for the total magnetization is 0.000 μB per atom.

The space group is C2/m (No. 12) and the conventional cell measures 7.3542, 12.7871 and 8.3963 Å, with angles of 90.00, 107.02 and 90.00 degrees. The distinct sites, in fractional coordinates, are Ac at (0.2272, 0.0000, 0.2016), Ac at (0.2372, 0.3303, 0.2030), H at (0.0000, 0.5000, 0.0000), Os at (0.0000, 0.1660, 0.0000), Cl at (0.0000, 0.0000, 0.5000) and Cl at (0.0000, 0.3195, 0.5000).


Record 5
## Ac8HOs3Cl3 (PBE)

Data for a geometry-optimized Ac8HOs3Cl3 structure.

The calculation puts the density of states at the Fermi level at 0.68 states/eV per atom. Its total energy is -85.6 eV per formula unit. For the density, the calculation gives 8.283 g/cm³. The value obtained for the total magnetization is 0.030 μB per atom.

The space group is C2/m (No. 12) and the conventional cell measures 14.9571, 8.6387 and 9.2094 Å, with angles of 90.00, 122.82 and 90.00 degrees. The distinct sites, in fractional coordinates, are Ac at (0.0168, 0.2433, 0.2941), Ac at (0.2368, 0.0000, 0.7099), Ac at (0.2394, 0.5000, 0.7051), H at (0.0000, 0.5000, 0.5000), Os at (0.0000, 0.0000, 0.5000), Os at (0.2500, 0.2500, 0.5000), Cl at (0.0000, 0.5000, 0.0000) and Cl at (0.2500, 0.2500, 0.0000).


Record 6
## Ac2PH2Cl (PBE)

Data for a geometry-optimized Ac2PH2Cl structure.

The calculation puts the density of states at the Fermi level at 0.00 states/eV per atom. Its total energy is -30.0 eV per formula unit. For the density, the calculation gives 6.785 g/cm³. The value obtained for the total magnetization is 0.000 μB per atom.

The space group is P-3m1 (No. 164) and the conventional cell measures 4.2796, 4.2796 and 8.0612 Å, with angles of 90.00, 90.00 and 120.00 degrees. The distinct sites, in fractional coordinates, are Ac at (0.3333, 0.6667, 0.2708), P at (0.0000, 0.0000, 0.5000), H at (0.3333, 0.6667, 0.7688) and Cl at (0.0000, 0.0000, 0.0000).